[1]
Compound: Tc3Ru
Source: the Alexandria database
Functional: GGA-PBEsol
Structure: relaxed

Cell: 4.6873 8.6480 5.4403 Å, 90.00 90.00 90.00°
With the nearest neighbours (Å) after each atom.
Space group Pnma (No. 62)
One atom of each set of equivalent atoms:
Tc (0.0871, 0.2500, 0.1234) x4  8 Tc 2.64-2.72, 4 Ru 2.70-2.72
Tc (0.2468, 0.5035, 0.3754) x8  9 Tc 2.64-2.73, 3 Ru 2.64-2.68
Ru (0.0865, 0.2500, 0.6236) x4  10 Tc 2.64-2.72, 2 Ru 2.72

## Properties
* offset from the most stable computed form: 0.045 eV/atom
* DFT formation energy: -0.005 eV/atom
* energy: -175.97 eV for the cell shown
* V: 13.78 Å³/atom
* spin magnetization: 0.000 μB per atom

[2]
Compound: PdSN2O
Source: the Alexandria database
Functional: GGA-PBEsol
Structure: relaxed

Cell: 3.7182 3.7182 3.2907 Å, 90.00 90.00 90.00°
With the nearest neighbours (Å) after each atom.
Space group P4/mmm (No. 123)
One atom of each set of equivalent atoms:
Pd (0.0000, 0.0000, 0.0000) x1  8 N 2.48, 4 O 2.63
S (0.5000, 0.5000, 0.5000) x1  2 O 1.65
N (0.0000, 0.5000, 0.5000) x2  2 S 1.86
O (0.5000, 0.5000, 0.0000) x1  2 S 1.65

## Properties
* energy: -26.44 eV for the cell shown
* V: 9.10 Å³/atom
* uncorrected formation energy: 1.24 eV/atom
* spin magnetization: 0.000 μB per atom

[3]
Compound: Re2HgOs
Source: the Alexandria database
Functional: GGA-PBEsol
Structure: relaxed

Cell: 2.7577 4.5999 10.3468 Å, 90.00 90.00 90.00°
With the nearest neighbours (Å) after each atom.
Space group Immm (No. 71)
One atom of each set of equivalent atoms:
Re (0.0000, 0.0000, 0.2133) x4  2 Os 2.60, 6 Re 2.76-2.79
Hg (0.0000, 0.5000, 0.0000) x2  4 Os 2.68, 2 Hg 2.76
Os (0.0000, 0.5000, 0.5000) x2  4 Re 2.60, 4 Hg 2.68, 2 Os 2.76

## Properties
* DFT formation energy: 0.746 eV/atom
* energy: -72.93 eV for the cell shown
* V: 16.41 Å³/atom
* spin magnetization: 0.000 μB per atom

[4]
Compound: LiAg
Source: the Alexandria database
Functional: GGA-PBEsol
Structure: relaxed

Cell: 3.9009 3.9009 8.1431 Å, 90.00 90.00 90.00°
With the nearest neighbours (Å) after each atom.
Space group I4_1/amd (No. 141, origin choice 2)
One atom of each set of equivalent atoms:
Li (0.0000, 0.2500, 0.3750) x4  8 Ag 2.76-2.82, 4 Li 2.82
Ag (0.0000, 0.2500, 0.8750) x4  8 Li 2.76-2.82, 4 Ag 2.82

## Properties
* DFT formation energy: -0.193 eV/atom
* energy: -22.66 eV for the cell shown
* V: 15.49 Å³/atom
* spin magnetization: 0.000 μB per atom

[5]
Compound: Mo2PbAu
Source: the Alexandria database
Functional: GGA-PBEsol
Structure: relaxed

Cell: 4.7435 4.7435 3.0761 Å, 90.00 90.00 90.00°
With the nearest neighbours (Å) after each atom.
Space group P4/mmm (No. 123)
One atom of each set of equivalent atoms:
Mo (0.0000, 0.5000, 0.0000) x2  4 Au 2.83, 4 Pb 2.83, 2 Mo 3.08
Pb (0.0000, 0.0000, 0.5000) x1  8 Mo 2.83, 2 Pb 3.08
Au (0.5000, 0.5000, 0.5000) x1  8 Mo 2.83, 2 Au 3.08

## Properties
* DFT formation energy: 0.655 eV/atom
* energy: -28.84 eV for the cell shown
* V: 17.30 Å³/atom
* spin magnetization: 0.000 μB per atom

[6]
Compound: ZrCu2Re
Source: the Alexandria database
Functional: GGA-PBEsol
Structure: relaxed

Cell: 2.7263 3.8317 5.5498 Å, 90.00 90.00 90.00°
With the nearest neighbours (Å) after each atom.
Space group Pmmm (No. 47)
One atom of each set of equivalent atoms:
Zr (0.0000, 0.0000, 0.0000) x1  2 Zr 2.73, 2 Re 2.77, 8 Cu 2.81
Cu (0.5000, 0.5000, 0.2788) x2  3 Cu 2.46-2.73, 4 Re 2.65
Re (0.0000, 0.0000, 0.5000) x1  8 Cu 2.65, 2 Re 2.73, 2 Zr 2.77

## Properties
* DFT formation energy: 0.111 eV/atom
* energy: -30.65 eV for the cell shown
* V: 14.49 Å³/atom
* spin magnetization: 0.000 μB per atom